Below is crystalline LaTmTl6 at its relaxed geometry, with properties calculated at the PBE-GGA level.

Cell: 4.8257 4.8257 9.6066 Å, 90.00 90.00 90.00°
Closest atoms and distances in Å follow each position.
Element x y z (fractional)
Tl 0.0000 0.5000 0.7427  8 Tl 3.36-3.45, 2 Tm 3.36, 2 La 3.45
Tl 0.5000 0.5000 0.0000  4 La 3.41, 8 Tl 3.45
Tl 0.5000 0.0000 0.2573  8 Tl 3.36-3.45, 2 Tm 3.36, 2 La 3.45
Tl 0.5000 0.0000 0.7427  8 Tl 3.36-3.45, 2 Tm 3.36, 2 La 3.45
Tl 0.0000 0.5000 0.2573  8 Tl 3.36-3.45, 2 Tm 3.36, 2 La 3.45
Tl 0.5000 0.5000 0.5000  8 Tl 3.36, 4 Tm 3.41
Tm 0.0000 0.0000 0.5000  12 Tl 3.36-3.41
La 0.0000 0.0000 0.0000  12 Tl 3.41-3.45

calculated formation energy = -0.270 eV/atom
energy = -3.220 eV per atom
magnetic moment = 0.0 μB per formula unit